Below is RbPtN2O after structural relaxation, with properties calculated at the PBE level.

Lattice parameters (Å, degrees): 3.8809 3.8809 4.7549 90.00 90.00 90.00
Last column: nearest neighbours and their distance in Å.
Fractional positions:
Rb 0.0000 0.0000 0.0000  4 O 2.74, 8 N 3.07
Pt 0.5000 0.5000 0.5000  4 N 1.94
N 0.0000 0.5000 0.5000  2 Pt 1.94
N 0.5000 0.0000 0.5000  2 Pt 1.94
O 0.5000 0.5000 0.0000  2 Pt 2.38

Results
Space group ... P4/mmm, No. 123
Uncorrected formation energy ... 0.793 eV/atom
E_tot ... -24.65 eV/f.u.


Below is RbPtN2O after structural relaxation, with properties calculated at the PBE level.

Lattice parameters (Å, degrees): 5.2294 5.2294 4.3325 90.00 90.00 90.00
Last column: nearest neighbours and their distance in Å.
Fractional positions:
Rb 0.0000 0.0000 0.0000  2 O 2.17
Pt 0.5000 0.5000 0.5000  8 N 3.40, 4 O 3.70
N 0.0000 0.5000 0.0000  2 Rb 2.61
N 0.5000 0.0000 0.0000  2 Rb 2.61
O 0.0000 0.0000 0.5000  2 Rb 2.17

Results
Space group ... P4/mmm, No. 123
Uncorrected formation energy ... 2.931 eV/atom
E_tot ... -13.96 eV/f.u.


Below is RePtN2O after structural relaxation, with properties calculated at the PBE level.

Lattice parameters (Å, degrees): 3.9800 3.9800 3.7530 90.00 90.00 90.00
Last column: nearest neighbours and their distance in Å.
Fractional positions:
Re 0.0000 0.0000 0.0000  2 O 1.88, 4 N 1.99
Pt 0.5000 0.5000 0.5000  8 N 2.74, 4 O 2.81
N 0.0000 0.5000 0.0000  2 Re 1.99
N 0.5000 0.0000 0.0000  2 Re 1.99
O 0.0000 0.0000 0.5000  2 Re 1.88

Results
Space group ... P4/mmm, No. 123
Uncorrected formation energy ... 0.655 eV/atom
E_tot ... -36.82 eV/f.u.


Below is RePtN2O after structural relaxation, with properties calculated at the PBE level.

Lattice parameters (Å, degrees): 3.9287 3.9287 3.9759 90.00 90.00 90.00
Last column: nearest neighbours and their distance in Å.
Fractional positions:
Re 0.0000 0.0000 0.0000  4 O 2.78, 8 N 2.79
Pt 0.5000 0.5000 0.5000  4 N 1.96, 2 O 1.99
N 0.0000 0.5000 0.5000  2 Pt 1.96
N 0.5000 0.0000 0.5000  2 Pt 1.96
O 0.5000 0.5000 0.0000  2 Pt 1.99

Results
Space group ... P4/mmm, No. 123
Uncorrected formation energy ... 1.832 eV/atom
E_tot ... -30.94 eV/f.u.


Below is PtRhN2O after structural relaxation, with properties calculated at the PBE level.

Lattice parameters (Å, degrees): 3.8025 3.8025 4.1334 90.00 90.00 90.00
Last column: nearest neighbours and their distance in Å.
Fractional positions:
Pt 0.0000 0.0000 0.0000  4 O 2.69, 8 N 2.81
Rh 0.5000 0.5000 0.5000  4 N 1.90, 2 O 2.07
N 0.0000 0.5000 0.5000  2 Rh 1.90
N 0.5000 0.0000 0.5000  2 Rh 1.90
O 0.5000 0.5000 0.0000  2 Rh 2.07

Results
Space group ... P4/mmm, No. 123
Uncorrected formation energy ... 1.426 eV/atom
E_tot ... -27.87 eV/f.u.


Below is PtRhN2O after structural relaxation, with properties calculated at the PBE level.

Lattice parameters (Å, degrees): 3.8443 3.8443 4.1720 90.00 90.00 90.00
Last column: nearest neighbours and their distance in Å.
Fractional positions:
Pt 0.0000 0.0000 0.0000  4 N 1.92, 2 O 2.09
Rh 0.5000 0.5000 0.5000  4 O 2.72, 8 N 2.84
N 0.0000 0.5000 0.0000  2 Pt 1.92
N 0.5000 0.0000 0.0000  2 Pt 1.92
O 0.0000 0.0000 0.5000  2 Pt 2.09

Results
Space group ... P4/mmm, No. 123
Uncorrected formation energy ... 1.547 eV/atom
E_tot ... -27.27 eV/f.u.


Below is RuPtNO2 after structural relaxation, with properties calculated at the PBE level.

Lattice parameters (Å, degrees): 3.8345 3.8345 3.9532 90.00 90.00 90.00
Last column: nearest neighbours and their distance in Å.
Fractional positions:
Ru 0.0000 0.0000 0.0000  4 O 1.92, 2 N 1.98
Pt 0.5000 0.5000 0.5000  4 N 2.71, 8 O 2.75
N 0.0000 0.0000 0.5000  2 Ru 1.98
O 0.0000 0.5000 0.0000  2 Ru 1.92
O 0.5000 0.0000 0.0000  2 Ru 1.92

Results
Space group ... P4/mmm, No. 123
Uncorrected formation energy ... 0.624 eV/atom
E_tot ... -30.44 eV/f.u.


Below is RuPtNO2 after structural relaxation, with properties calculated at the PBE level.

Lattice parameters (Å, degrees): 4.1231 4.1231 3.7370 90.00 90.00 90.00
Last column: nearest neighbours and their distance in Å.
Fractional positions:
Ru 0.0000 0.0000 0.0000  8 O 2.78, 4 N 2.92
Pt 0.5000 0.5000 0.5000  2 N 1.87, 4 O 2.06
N 0.5000 0.5000 0.0000  2 Pt 1.87
O 0.0000 0.5000 0.5000  2 Pt 2.06
O 0.5000 0.0000 0.5000  2 Pt 2.06

Results
Space group ... P4/mmm, No. 123
Uncorrected formation energy ... 1.027 eV/atom
E_tot ... -28.42 eV/f.u.


Below is PtSNO2 after structural relaxation, with properties calculated at the PBE level.

Lattice parameters (Å, degrees): 4.0147 4.0147 3.8211 90.00 90.00 90.00
Last column: nearest neighbours and their distance in Å.
Fractional positions:
Pt 0.0000 0.0000 0.0000  2 N 1.91, 4 O 2.01
S 0.5000 0.5000 0.5000  8 O 2.77, 4 N 2.84
N 0.0000 0.0000 0.5000  2 Pt 1.91
O 0.0000 0.5000 0.0000  2 Pt 2.01
O 0.5000 0.0000 0.0000  2 Pt 2.01

Results
Space group ... P4/mmm, No. 123
Uncorrected formation energy ... 1.066 eV/atom
E_tot ... -23.08 eV/f.u.


Below is PtSNO2 after structural relaxation, with properties calculated at the PBE level.

Lattice parameters (Å, degrees): 3.2342 3.2342 6.3790 90.00 90.00 90.00
Last column: nearest neighbours and their distance in Å.
Fractional positions:
Pt 0.0000 0.0000 0.0000  4 N 2.29
S 0.5000 0.5000 0.5000  4 O 1.62
N 0.5000 0.5000 0.0000  4 Pt 2.29
O 0.0000 0.5000 0.5000  2 S 1.62
O 0.5000 0.0000 0.5000  2 S 1.62

Results
Space group ... P4/mmm, No. 123
Uncorrected formation energy ... 0.961 eV/atom
E_tot ... -23.60 eV/f.u.


Below is SbPtN2O after structural relaxation, with properties calculated at the PBE level.

Lattice parameters (Å, degrees): 4.1095 4.1095 3.8006 90.00 90.00 90.00
Last column: nearest neighbours and their distance in Å.
Fractional positions:
Sb 0.0000 0.0000 0.0000  2 O 1.90, 4 N 2.05
Pt 0.5000 0.5000 0.5000  8 N 2.80, 4 O 2.91
N 0.0000 0.5000 0.0000  2 Sb 2.05
N 0.5000 0.0000 0.0000  2 Sb 2.05
O 0.0000 0.0000 0.5000  2 Sb 1.90

Results
Space group ... P4/mmm, No. 123
Uncorrected formation energy ... 1.213 eV/atom
E_tot ... -25.71 eV/f.u.


Below is SbPtNO2 after structural relaxation, with properties calculated at the PBE level.

Lattice parameters (Å, degrees): 4.0788 4.0788 3.9175 90.00 90.00 90.00
Last column: nearest neighbours and their distance in Å.
Fractional positions:
Sb 0.0000 0.0000 0.0000  8 O 2.83, 4 N 2.88
Pt 0.5000 0.5000 0.5000  2 N 1.96, 4 O 2.04
N 0.5000 0.5000 0.0000  2 Pt 1.96
O 0.0000 0.5000 0.5000  2 Pt 2.04
O 0.5000 0.0000 0.5000  2 Pt 2.04

Results
Space group ... P4/mmm, No. 123
Uncorrected formation energy ... 0.359 eV/atom
E_tot ... -26.61 eV/f.u.